Entry 1:
This record from Alexandria describes a relaxed ErTm6Tl crystal. The functional is PBE.

a = 6.2535 Å, b = 6.2535 Å, c = 9.6048 Å
α = 121.09°, β = 121.09°, γ = 95.73°
Sites, in units of the cell vectors:
Er (0.0000, 0.0000, 0.0000)
Tm (0.4546, 0.4546, 0.7958)
Tm (0.7550, 0.1319, 0.2780)
Tm (0.5454, 0.5454, 0.2042)
Tm (0.8681, 0.2450, 0.7220)
Tm (0.2450, 0.8681, 0.7220)
Tm (0.1319, 0.7550, 0.2780)
Tl (0.5000, 0.5000, 0.5000)

Values from the calculation:
Symmetry: No. 12



Entry 2:
This record from Alexandria describes a relaxed Er6Tm3Tl crystal. The functional is PBE.

a = 3.5149 Å, b = 12.6862 Å, c = 15.8434 Å
α = 121.44°, β = 90.00°, γ = 90.00°
Sites, in units of the cell vectors:
Er (0.7500, 0.5964, 0.7114)
Er (0.2500, 0.4036, 0.2886)
Er (0.7500, 0.8582, 0.1025)
Er (0.2500, 0.1418, 0.8975)
Er (0.7500, 0.3815, 0.0997)
Er (0.2500, 0.6185, 0.9003)
Er (0.7500, 0.6621, 0.3069)
Er (0.2500, 0.3379, 0.6931)
Er (0.7500, 0.1175, 0.4773)
Er (0.2500, 0.8825, 0.5227)
Er (0.7500, 0.8793, 0.7165)
Er (0.2500, 0.1207, 0.2835)
Tm (0.7500, 0.3884, 0.8981)
Tm (0.2500, 0.6116, 0.1019)
Tm (0.7500, 0.6177, 0.4952)
Tm (0.2500, 0.3823, 0.5048)
Tm (0.7500, 0.1241, 0.0925)
Tm (0.2500, 0.8759, 0.9075)
Tl (0.7500, 0.1191, 0.6966)
Tl (0.2500, 0.8809, 0.3034)

Values from the calculation:
Symmetry: No. 11



Computed values of relative energy among the computed polymorphs (unit: meV/atom) for the preceding records, in sequence: 90.6; 0.0.
Computed values of energy (unit: eV per atom) for the preceding records, in sequence: -4.19; -4.32.